Entry 1:
A geometry-optimized Pa3Mo structure. Source: the Alexandria database, functional PBE.

The structure belongs to space group Imm2 (No. 44); the cell edges are 3.342, 10.097 and 5.441 Å and the angles 90.00°, 90.00° and 90.00°. The distinct sites, in fractional coordinates, are Pa at (0.000, 0.000, 0.000), Pa at (0.000, 0.208, 0.633) and Mo at (0.000, 0.500, 0.922).

The crystal system is orthorhombic. As for the formation energy: 191 meV per atom. The calculation puts the electronic total energy at -9.6389 eV per atom. The density comes out at 14.27 g/cm3. The volume comes out at 184 Å³ per cell.

Entry 2:
A geometry-optimized UGa3Au2 structure. Source: the Alexandria database, functional PBE.

The structure belongs to space group Immm (No. 71); the cell edges are 4.608, 7.599 and 13.532 Å and the angles 90.00°, 90.00° and 90.00°. The distinct sites, in fractional coordinates, are U at (0.000, 0.000, 0.122), Ga at (0.000, 0.203, 0.320), Ga at (0.000, 0.342, 0.000), Au at (0.000, 0.317, 0.500) and Au at (0.000, 0.500, 0.194).

The crystal system is orthorhombic. As for the formation energy: -216 meV per atom. The calculation puts the electronic total energy at -4.7034 eV per atom. The density comes out at 11.79 g/cm3. The volume comes out at 474 Å³ per cell.

For each record above, in turn, the calculated total moment values are 0.00 10.39 μB per cell.
For each record above, in turn, the calculated DOS(E_F) values are 13.6 28.1 states/eV per cell.